(1)
Material: Th3Zr
Method: DFT, GGA-PBE
State: optimized geometry

As for the total magnetization: 0.00 μB/f.u. The density of states at the Fermi level is 6.1 states/eV/cell. As for the density: 10.8 g/cm3.

abc: 4.9400 4.9400 4.9400
angles: 90.00 90.00 90.00
With the nearest neighbours (Å) after each atom.
Sites, in units of the cell vectors:
1 Th 0.0000 0.0000 0.5000  4 Zr 3.49, 8 Th 3.49
2 Th 0.0000 0.5000 0.0000  4 Zr 3.49, 8 Th 3.49
3 Th 0.5000 0.0000 0.0000  4 Zr 3.49, 8 Th 3.49
4 Zr 0.5000 0.5000 0.5000  12 Th 3.49

(2)
Material: Th3Zr
Method: DFT, GGA-PBE
State: optimized geometry

As for the total magnetization: 0.00 μB/f.u. The density of states at the Fermi level is 6.4 states/eV/cell. As for the density: 10.9 g/cm3.

abc: 6.0524 6.0524 6.0524
angles: 132.12 132.12 70.05
With the nearest neighbours (Å) after each atom.
Sites, in units of the cell vectors:
1 Th 0.0000 0.0000 0.0000  4 Zr 3.47, 8 Th 3.49
2 Th 0.2500 0.7500 0.5000  8 Th 3.47-3.49, 4 Zr 3.49
3 Th 0.7500 0.2500 0.5000  8 Th 3.47-3.49, 4 Zr 3.49
4 Zr 0.5000 0.5000 0.0000  12 Th 3.47-3.49

Stability summary: most stable (2), least stable (1).

(1)
Material: Ti
Method: DFT, GGA-PBE
State: optimized geometry

As for the total magnetization: 0.00 μB/f.u. The density of states at the Fermi level is 2.1 states/eV/cell. As for the density: 4.6 g/cm3.

abc: 2.8132 2.8132 2.8132
angles: 109.47 109.47 109.47
With the nearest neighbours (Å) after each atom.
Sites, in units of the cell vectors:
1 Ti 0.0000 0.0000 0.0000  8 Ti 2.81

(2)
Material: Ti
Method: DFT, GGA-PBE
State: optimized geometry

As for the total magnetization: 0.00 μB/f.u. The density of states at the Fermi level is 10.5 states/eV/cell. As for the density: 2.8 g/cm3.

abc: 6.6512 6.6512 6.6512
angles: 109.47 109.47 109.47
With the nearest neighbours (Å) after each atom.
Sites, in units of the cell vectors:
1 Ti 0.0000 0.0000 0.2380  1 Ti 2.20
2 Ti 0.0000 0.0000 0.5684  1 Ti 2.20
3 Ti 0.0000 0.2380 0.0000  1 Ti 2.20
4 Ti 0.0000 0.5684 0.0000  1 Ti 2.20
5 Ti 0.2380 0.0000 0.0000  1 Ti 2.20
6 Ti 0.4316 0.4316 0.4316  1 Ti 2.20
7 Ti 0.5684 0.0000 0.0000  1 Ti 2.20
8 Ti 0.7620 0.7620 0.7620  1 Ti 2.20

Stability summary: most stable (1), least stable (2).

(1)
Material: Ti
Method: DFT, GGA-PBE
State: optimized geometry

As for the total magnetization: 0.00 μB/f.u. The density of states at the Fermi level is 19.0 states/eV/cell. As for the density: 4.3 g/cm3.

abc: 9.5983 9.5983 2.7883
angles: 90.00 90.00 120.00
With the nearest neighbours (Å) after each atom.
Sites, in units of the cell vectors:
1 Ti 0.0601 0.2909 0.2500  10 Ti 2.78-2.91
2 Ti 0.1364 0.6147 0.2500  10 Ti 2.78-2.94
3 Ti 0.2307 0.9399 0.2500  10 Ti 2.78-2.91
4 Ti 0.2909 0.2307 0.7500  10 Ti 2.78-2.91
5 Ti 0.3853 0.5218 0.2500  10 Ti 2.78-2.94
6 Ti 0.4782 0.8636 0.2500  10 Ti 2.78-2.94
7 Ti 0.5218 0.1364 0.7500  10 Ti 2.78-2.94
8 Ti 0.6147 0.4782 0.7500  10 Ti 2.78-2.94
9 Ti 0.7091 0.7693 0.2500  10 Ti 2.78-2.91
10 Ti 0.7693 0.0601 0.7500  10 Ti 2.78-2.91
11 Ti 0.8636 0.3853 0.7500  10 Ti 2.78-2.94
12 Ti 0.9399 0.7091 0.7500  10 Ti 2.78-2.91

(2)
Material: Ti
Method: DFT, GGA-PBE
State: optimized geometry

As for the total magnetization: 0.00 μB/f.u. The density of states at the Fermi level is 4.3 states/eV/cell. As for the density: 4.6 g/cm3.

abc: 5.5425 5.5425 4.5152
angles: 90.00 90.00 150.35
With the nearest neighbours (Å) after each atom.
Sites, in units of the cell vectors:
1 Ti 0.0639 0.9361 0.7500  9 Ti 2.64-2.95
2 Ti 0.3177 0.6823 0.7500  13 Ti 2.72-3.04
3 Ti 0.6823 0.3177 0.2500  13 Ti 2.72-3.04
4 Ti 0.9361 0.0639 0.2500  9 Ti 2.64-2.95

Stability summary: most stable (2), least stable (1).

(1)
Material: Ti
Method: DFT, GGA-PBE
State: optimized geometry

As for the total magnetization: 0.00 μB/f.u. The density of states at the Fermi level is 0.8 states/eV/cell. As for the density: 4.5 g/cm3.

abc: 2.7246 2.7246 2.7358
angles: 90.00 90.00 120.00
With the nearest neighbours (Å) after each atom.
Sites, in units of the cell vectors:
1 Ti 0.0000 0.0000 0.0000  8 Ti 2.72-2.74

(2)
Material: Ti
Method: DFT, GGA-PBE
State: optimized geometry

As for the total magnetization: 0.00 μB/f.u. The density of states at the Fermi level is 6.4 states/eV/cell. As for the density: 4.4 g/cm3.

abc: 5.2452 5.2452 2.6375
angles: 90.00 90.00 90.00
With the nearest neighbours (Å) after each atom.
Sites, in units of the cell vectors:
1 Ti 0.1771 0.3229 0.0000  7 Ti 2.63-2.73
2 Ti 0.3229 0.8229 0.0000  7 Ti 2.63-2.73
3 Ti 0.6771 0.1771 0.0000  7 Ti 2.63-2.73
4 Ti 0.8229 0.6771 0.0000  7 Ti 2.63-2.73

(3)
Material: Ti
Method: DFT, GGA-PBE
State: optimized geometry

As for the total magnetization: 0.00 μB/f.u. The density of states at the Fermi level is 8.0 states/eV/cell. As for the density: 4.4 g/cm3.

abc: 7.3040 7.3040 7.3040
angles: 92.09 92.09 157.99
With the nearest neighbours (Å) after each atom.
Sites, in units of the cell vectors:
1 Ti 0.0905 0.3522 0.4428  10 Ti 2.64-2.85
2 Ti 0.0966 0.8290 0.9256  8 Ti 2.64-2.84
3 Ti 0.1710 0.0966 0.2675  8 Ti 2.64-2.84
4 Ti 0.3522 0.9095 0.2617  10 Ti 2.64-2.85
5 Ti 0.6478 0.0905 0.7383  10 Ti 2.64-2.85
6 Ti 0.8290 0.9034 0.7325  8 Ti 2.64-2.84
7 Ti 0.9034 0.1710 0.0744  8 Ti 2.64-2.84
8 Ti 0.9095 0.6478 0.5572  10 Ti 2.64-2.85

Stability summary: most stable (3), least stable (2).

(1)
Material: Ti
Method: DFT, GGA-PBE
State: optimized geometry

As for the total magnetization: 0.00 μB/f.u. The density of states at the Fermi level is 1.8 states/eV/cell. As for the density: 4.6 g/cm3.

abc: 2.9339 2.9339 4.6405
angles: 90.00 90.00 120.00
With the nearest neighbours (Å) after each atom.
Sites, in units of the cell vectors:
1 Ti 0.3333 0.6667 0.2500  12 Ti 2.87-2.93
2 Ti 0.6667 0.3333 0.7500  12 Ti 2.87-2.93

(2)
Material: Ti
Method: DFT, GGA-PBE
State: optimized geometry

As for the total magnetization: 0.00 μB/f.u. The density of states at the Fermi level is 1.8 states/eV/cell. As for the density: 4.6 g/cm3.

abc: 2.9017 2.9017 2.9017
angles: 60.00 60.00 60.00
With the nearest neighbours (Å) after each atom.
Sites, in units of the cell vectors:
1 Ti 0.0000 0.0000 0.0000  12 Ti 2.90

(3)
Material: Ti
Method: DFT, GGA-PBE
State: optimized geometry

As for the total magnetization: 0.00 μB/f.u. The density of states at the Fermi level is 25.9 states/eV/cell. As for the density: 4.3 g/cm3.

abc: 7.9325 7.9325 4.6611
angles: 90.00 90.00 90.00
With the nearest neighbours (Å) after each atom.
Sites, in units of the cell vectors:
1 Ti 0.0547 0.2938 0.0000  4 Ti 2.56-2.79
2 Ti 0.1224 0.7827 0.5000  6 Ti 2.56-2.80
3 Ti 0.2062 0.4453 0.5000  4 Ti 2.56-2.79
4 Ti 0.2173 0.1224 0.5000  6 Ti 2.56-2.80
5 Ti 0.2827 0.6224 0.0000  6 Ti 2.56-2.80
6 Ti 0.2938 0.9453 0.0000  4 Ti 2.56-2.79
7 Ti 0.3776 0.2827 0.0000  6 Ti 2.56-2.80
8 Ti 0.4453 0.7938 0.5000  4 Ti 2.56-2.79
9 Ti 0.5547 0.2062 0.5000  4 Ti 2.56-2.79
10 Ti 0.6224 0.7173 0.0000  6 Ti 2.56-2.80
11 Ti 0.7062 0.0547 0.0000  4 Ti 2.56-2.79
12 Ti 0.7173 0.3776 0.0000  6 Ti 2.56-2.80
13 Ti 0.7827 0.8776 0.5000  6 Ti 2.56-2.80
14 Ti 0.7938 0.5547 0.5000  4 Ti 2.56-2.79
15 Ti 0.8776 0.2173 0.5000  6 Ti 2.56-2.80
16 Ti 0.9453 0.7062 0.0000  4 Ti 2.56-2.79

(4)
Material: Ti
Method: DFT, GGA-PBE
State: optimized geometry

As for the total magnetization: 0.00 μB/f.u. The density of states at the Fermi level is 2.0 states/eV/cell. As for the density: 4.4 g/cm3.

abc: 2.6261 2.6261 2.6261
angles: 90.00 90.00 90.00
With the nearest neighbours (Å) after each atom.
Sites, in units of the cell vectors:
1 Ti 0.0000 0.0000 0.0000  6 Ti 2.63

Stability summary: most stable (1), least stable (4).

(1)
Material: Ti4Tl
Method: DFT, GGA-PBE
State: optimized geometry

As for the total magnetization: 4.15 μB/f.u. The density of states at the Fermi level is 7.6 states/eV/cell. As for the density: 5.1 g/cm3.

abc: 5.0391 5.0391 5.0391
angles: 90.00 90.00 90.00
With the nearest neighbours (Å) after each atom.
Sites, in units of the cell vectors:
1 Ti 0.0000 0.0000 0.0000  12 Ti 3.56
2 Ti 0.0000 0.5000 0.5000  2 Tl 2.52
3 Ti 0.5000 0.0000 0.5000  2 Tl 2.52
4 Ti 0.5000 0.5000 0.0000  2 Tl 2.52
5 Tl 0.5000 0.5000 0.5000  6 Ti 2.52

(2)
Material: Ti4Tl
Method: DFT, GGA-PBE
State: optimized geometry

As for the total magnetization: 0.00 μB/f.u. The density of states at the Fermi level is 6.0 states/eV/cell. As for the density: 7.1 g/cm3.

abc: 5.0255 5.0255 5.0255
angles: 124.70 102.61 102.27
With the nearest neighbours (Å) after each atom.
Sites, in units of the cell vectors:
1 Ti 0.1951 0.1951 0.0000  3 Ti 2.46-2.71
2 Ti 0.1960 0.5000 0.6960  3 Ti 2.46-2.71
3 Ti 0.8040 0.5000 0.3040  3 Ti 2.46-2.71
4 Ti 0.8049 0.8049 0.0000  3 Ti 2.46-2.71
5 Tl 0.5000 0.0000 0.5000  12 Ti 3.01-3.37

Stability summary: most stable (2), least stable (1).

(1)
Material: Tm2TiTl
Method: DFT, GGA-PBE
State: optimized geometry

As for the total magnetization: 2.92 μB/f.u. The density of states at the Fermi level is 3.8 states/eV/cell. As for the density: 9.8 g/cm3.

abc: 5.2114 5.2114 5.2114
angles: 60.00 60.00 60.00
With the nearest neighbours (Å) after each atom.
Sites, in units of the cell vectors:
1 Tm 0.2500 0.2500 0.2500  4 Tl 3.19, 4 Ti 3.19
2 Tm 0.7500 0.7500 0.7500  4 Tl 3.19, 4 Ti 3.19
3 Ti 0.0000 0.0000 0.0000  8 Tm 3.19
4 Tl 0.5000 0.5000 0.5000  8 Tm 3.19

(2)
Material: Tm2TiTl
Method: DFT, GGA-PBE
State: optimized geometry

As for the total magnetization: 1.92 μB/f.u. The density of states at the Fermi level is 4.0 states/eV/cell. As for the density: 9.2 g/cm3.

abc: 11.3423 11.3423 11.3423
angles: 16.82 16.82 16.82
With the nearest neighbours (Å) after each atom.
Sites, in units of the cell vectors:
1 Tm 0.0870 0.0870 0.0870  1 Ti 2.92
2 Tm 0.9130 0.9130 0.9130  1 Ti 2.92
3 Ti 0.0000 0.0000 0.0000  2 Tm 2.92
4 Tl 0.5000 0.5000 0.5000  6 Tm 3.29, 6 Tl 3.32

(3)
Material: Tm2TiTl
Method: DFT, GGA-PBE
State: optimized geometry

As for the total magnetization: 0.00 μB/f.u. The density of states at the Fermi level is 5.3 states/eV/cell. As for the density: 9.8 g/cm3.

abc: 3.4932 3.4932 8.2136
angles: 90.00 90.00 90.00
With the nearest neighbours (Å) after each atom.
Sites, in units of the cell vectors:
1 Tm 0.0000 0.0000 0.2414  4 Ti 3.17, 4 Tl 3.26, 4 Tm 3.49
2 Tm 0.0000 0.0000 0.7586  4 Ti 3.17, 4 Tl 3.26, 4 Tm 3.49
3 Ti 0.5000 0.5000 0.0000  8 Tm 3.17, 4 Ti 3.49
4 Tl 0.5000 0.5000 0.5000  8 Tm 3.26, 4 Tl 3.49

(4)
Material: Tm2TiTl
Method: DFT, GGA-PBE
State: optimized geometry

As for the total magnetization: 2.51 μB/f.u. The density of states at the Fermi level is 3.4 states/eV/cell. As for the density: 9.9 g/cm3.

abc: 4.7426 4.7426 4.3967
angles: 90.00 90.00 90.00
With the nearest neighbours (Å) after each atom.
Sites, in units of the cell vectors:
1 Tm 0.0000 0.5000 0.0000  4 Tl 3.23, 4 Ti 3.23, 4 Tm 3.35
2 Tm 0.5000 0.0000 0.0000  4 Tl 3.23, 4 Ti 3.23, 4 Tm 3.35
3 Ti 0.0000 0.0000 0.5000  8 Tm 3.23, 4 Tl 3.35
4 Tl 0.5000 0.5000 0.5000  8 Tm 3.23, 4 Ti 3.35

Stability summary: most stable (3), least stable (2).

(1)
Material: UTi2Tl
Method: DFT, GGA-PBE
State: optimized geometry

As for the total magnetization: 0.92 μB/f.u. The density of states at the Fermi level is 8.0 states/eV/cell. As for the density: 10.9 g/cm3.

abc: 10.0577 10.0577 10.0577
angles: 17.66 17.66 17.66
With the nearest neighbours (Å) after each atom.
Sites, in units of the cell vectors:
1 U 0.0000 0.0000 0.0000  6 Ti 3.04, 6 U 3.09
2 Ti 0.2502 0.2502 0.2502  3 U 3.04, 3 Tl 3.06, 6 Ti 3.09
3 Ti 0.7498 0.7498 0.7498  3 U 3.04, 3 Tl 3.06, 6 Ti 3.09
4 Tl 0.5000 0.5000 0.5000  6 Ti 3.06, 6 Tl 3.09

(2)
Material: UTi2Tl
Method: DFT, GGA-PBE
State: optimized geometry

As for the total magnetization: 2.15 μB/f.u. The density of states at the Fermi level is 7.3 states/eV/cell. As for the density: 11.5 g/cm3.

abc: 4.9587 4.9587 3.1634
angles: 90.00 90.00 90.00
With the nearest neighbours (Å) after each atom.
Sites, in units of the cell vectors:
1 U 0.0000 0.0000 0.0000  8 Ti 2.94, 2 U 3.16
2 Ti 0.0000 0.5000 0.5000  4 Tl 2.94, 4 U 2.94, 2 Ti 3.16
3 Ti 0.5000 0.0000 0.5000  4 Tl 2.94, 4 U 2.94, 2 Ti 3.16
4 Tl 0.5000 0.5000 0.0000  8 Ti 2.94, 2 Tl 3.16

(3)
Material: UTi2Tl
Method: DFT, GGA-PBE
State: optimized geometry

As for the total magnetization: 1.54 μB/f.u. The density of states at the Fermi level is 7.6 states/eV/cell. As for the density: 11.5 g/cm3.

abc: 3.4139 3.4139 6.6828
angles: 90.00 90.00 90.00
With the nearest neighbours (Å) after each atom.
Sites, in units of the cell vectors:
1 U 0.0000 0.0000 0.0000  8 Ti 2.82
2 Ti 0.5000 0.5000 0.2192  4 U 2.82, 1 Ti 2.93, 4 Tl 3.06
3 Ti 0.5000 0.5000 0.7808  4 U 2.82, 1 Ti 2.93, 4 Tl 3.06
4 Tl 0.0000 0.0000 0.5000  8 Ti 3.06, 2 U 3.34, 4 Tl 3.41

Stability summary: most stable (2), least stable (1).